# meta-GGA SCAN Co3Mo, PBEsol geometry
# calculated total energy	-21.512	eV/atom
# density of states at the Fermi level	0.38	states/eV/atom
data_Co3Mo
_chemical_formula_sum 'Co3 Mo1'
_cell_length_a 3.5371
_cell_length_b 3.5371
_cell_length_c 3.5371
_cell_angle_alpha 90.00
_cell_angle_beta 90.00
_cell_angle_gamma 90.00
_space_group_name_H-M_alt 'P m -3 m'
_space_group_IT_number 221
_space_group_name_Hall '-P 4 2 3'
loop_
_atom_site_label
_atom_site_type_symbol
_atom_site_fract_x
_atom_site_fract_y
_atom_site_fract_z
_atom_site_occupancy
Co1 Co 0.0000 0.0000 0.5000 1
Mo1 Mo 0.5000 0.5000 0.5000 1